A plane-wave DFT calculation with GGA-PBE was carried out for crystalline B2C at its relaxed geometry.

a b c (Å): 4.562 4.562 7.477
angles (deg): 107.38 107.38 34.33
Fractional positions:
B  0.000  0.000  0.000
B  0.107  0.107  0.453
B  0.207  0.207  0.008
B  0.363  0.363  0.798
B  0.505  0.505  0.201
B  0.582  0.582  0.888
B  0.780  0.780  0.877
B  0.820  0.820  0.328
C  0.329  0.329  0.212
C  0.462  0.462  0.651
C  0.653  0.653  0.381
C  0.974  0.974  0.555

## Properties
- Formation energy: 369 meV/atom
- Space group: No. 8
- Energy above the most stable polymorph in this dataset: 0.55 eV/f.u.
- Calculated total energy: -85.9 eV for the cell shown